--- 1 ---
A plane-wave DFT calculation with GGA-PBE was carried out for a relaxed ZrScRh crystal.

The structure belongs to space group I4mm (No. 107); the cell edges are 3.3023, 3.3023 and 10.6092 Å and the angles 90.00°, 90.00° and 90.00°. The distinct sites, in fractional coordinates, are Zr at (0.0000, 0.0000, 0.0000), Sc at (0.0000, 0.0000, 0.3023) and Rh at (0.0000, 0.0000, 0.6487).

As for the total moment: 0.032 μB per formula unit. The density of states at the Fermi level is 9.82 states/eV/cell.

--- 2 ---
A plane-wave DFT calculation with GGA-PBE was carried out for a relaxed ZrScRh crystal.

The structure belongs to space group F-43m (No. 216); the cell edges are 6.4099, 6.4099 and 6.4099 Å and the angles 90.00°, 90.00° and 90.00°. The distinct sites, in fractional coordinates, are Zr at (0.0000, 0.0000, 0.0000), Sc at (0.0000, 0.0000, 0.5000) and Rh at (0.2500, 0.2500, 0.2500).

As for the total moment: 0.000 μB per formula unit. The density of states at the Fermi level is 15.19 states/eV/cell.

--- 3 ---
A plane-wave DFT calculation with GGA-PBE was carried out for a relaxed ZrScRh crystal.

The structure belongs to space group Cmcm (No. 63); the cell edges are 3.3571, 14.3169 and 4.7740 Å and the angles 90.00°, 90.00° and 90.00°. The distinct sites, in fractional coordinates, are Zr at (0.0000, 0.2322, 0.2500), Sc at (0.0000, 0.0752, 0.7500) and Rh at (0.0000, 0.4211, 0.7500).

As for the total moment: 0.000 μB per formula unit. The density of states at the Fermi level is 8.87 states/eV/cell.

--- 4 ---
A plane-wave DFT calculation with GGA-PBE was carried out for a relaxed ZrScRh crystal.

The structure belongs to space group P3m1 (No. 156); the cell edges are 4.5864, 4.5864 and 3.1374 Å and the angles 90.00°, 90.00° and 120.00°. The distinct sites, in fractional coordinates, are Zr at (0.0000, 0.0000, 0.0000), Sc at (0.3333, 0.6667, 0.5786) and Rh at (0.6667, 0.3333, 0.2767).

As for the total moment: 0.000 μB per formula unit. The density of states at the Fermi level is 1.83 states/eV/cell.

The computed energies, referenced to the most stable structure and given in eV/atom, are 1 0.083; 2 0.178; 3 0.000; 4 0.163.

--- 1 ---
A plane-wave DFT calculation with GGA-PBE was carried out for a relaxed Zr4ScRh crystal.

The structure belongs to space group F-43m (No. 216); the cell edges are 8.0773, 8.0773 and 8.0773 Å and the angles 90.00°, 90.00° and 90.00°. The distinct sites, in fractional coordinates, are Zr at (0.1251, 0.1251, 0.1251), Sc at (0.0000, 0.0000, 0.5000) and Rh at (0.2500, 0.2500, 0.7500).

As for the total moment: 0.000 μB per formula unit. The density of states at the Fermi level is 40.52 states/eV/cell.

--- 2 ---
A plane-wave DFT calculation with GGA-PBE was carried out for a relaxed Zr4ScRh crystal.

The structure belongs to space group C2/m (No. 12); the cell edges are 10.4356, 4.9020 and 5.9895 Å and the angles 90.00°, 123.62° and 90.00°. The distinct sites, in fractional coordinates, are Zr at (0.1505, 0.0000, 0.3089), Zr at (0.2040, 0.0000, 0.8451), Sc at (0.0000, 0.5000, 0.5000) and Rh at (0.0000, 0.5000, 0.0000).

As for the total moment: 0.000 μB per formula unit. The density of states at the Fermi level is 9.17 states/eV/cell.

The computed energies, referenced to the most stable structure and given in eV/atom, are 1 0.529; 2 0.000.

--- 1 ---
A plane-wave DFT calculation with GGA-PBE was carried out for a relaxed Zr2ScRh2 crystal.

The structure belongs to space group P4/mbm (No. 127); the cell edges are 7.4638, 7.4638 and 3.4812 Å and the angles 90.00°, 90.00° and 90.00°. The distinct sites, in fractional coordinates, are Zr at (0.1659, 0.3341, 0.0000), Sc at (0.0000, 0.0000, 0.5000) and Rh at (0.1354, 0.6354, 0.5000).

As for the total moment: 0.000 μB per formula unit. The density of states at the Fermi level is 13.44 states/eV/cell.

--- 2 ---
A plane-wave DFT calculation with GGA-PBE was carried out for a relaxed Zr2ScRh2 crystal.

The structure belongs to space group P4/mbm (No. 127); the cell edges are 7.9482, 7.9482 and 3.0434 Å and the angles 90.00°, 90.00° and 90.00°. The distinct sites, in fractional coordinates, are Zr at (0.1463, 0.3537, 0.0000), Sc at (0.0000, 0.0000, 0.0000) and Rh at (0.1532, 0.6532, 0.5000).

As for the total moment: 0.000 μB per formula unit. The density of states at the Fermi level is 8.38 states/eV/cell.

--- 3 ---
A plane-wave DFT calculation with GGA-PBE was carried out for a relaxed Zr2ScRh2 crystal.

The structure belongs to space group P2_1/m (No. 11); the cell edges are 3.3905, 4.6580 and 11.8631 Å and the angles 90.00°, 98.20° and 90.00°. The distinct sites, in fractional coordinates, are Zr at (0.0496, 0.2500, 0.0993), Zr at (0.2430, 0.2500, 0.4860), Sc at (0.1443, 0.7500, 0.2877), Rh at (0.3563, 0.7500, 0.7131) and Rh at (0.4535, 0.2500, 0.9074).

As for the total moment: 0.000 μB per formula unit. The density of states at the Fermi level is 7.43 states/eV/cell.

The computed energies, referenced to the most stable structure and given in eV/atom, are 1 0.048; 2 0.174; 3 0.000.

--- 1 ---
A plane-wave DFT calculation with GGA-PBE was carried out for a relaxed ZrSc3Rh crystal.

The structure belongs to space group P-1 (No. 2); the cell edges are 3.3466, 7.4875 and 8.7728 Å and the angles 77.59°, 79.05° and 90.00°. The distinct sites, in fractional coordinates, are Zr at (0.0930, 0.0489, 0.3147), Sc at (0.3047, 0.1813, 0.8904), Sc at (0.3179, 0.6199, 0.8638), Sc at (0.4964, 0.2928, 0.5074) and Rh at (0.1018, 0.5582, 0.2964).

As for the total moment: 0.000 μB per formula unit. The density of states at the Fermi level is 10.94 states/eV/cell.

--- 2 ---
A plane-wave DFT calculation with GGA-PBE was carried out for a relaxed ZrSc3Rh crystal.

The structure belongs to space group Pm-3m (No. 221); the cell edges are 4.9230, 4.9230 and 4.9230 Å and the angles 90.00°, 90.00° and 90.00°. The distinct sites, in fractional coordinates, are Zr at (0.0000, 0.0000, 0.0000), Sc at (0.0000, 0.0000, 0.5000) and Rh at (0.5000, 0.5000, 0.5000).

As for the total moment: 0.000 μB per formula unit. The density of states at the Fermi level is 4.08 states/eV/cell.

The computed energies, referenced to the most stable structure and given in eV/atom, are 1 0.000; 2 1.339.

--- 1 ---
A plane-wave DFT calculation with GGA-PBE was carried out for a relaxed Zr2Sc2Rh crystal.

The structure belongs to space group P4/mbm (No. 127); the cell edges are 6.6073, 6.6073 and 4.9898 Å and the angles 90.00°, 90.00° and 90.00°. The distinct sites, in fractional coordinates, are Zr at (0.1579, 0.3421, 0.0000), Sc at (0.1538, 0.6538, 0.5000) and Rh at (0.0000, 0.0000, 0.5000).

As for the total moment: 0.000 μB per formula unit. The density of states at the Fermi level is 12.10 states/eV/cell.

--- 2 ---
A plane-wave DFT calculation with GGA-PBE was carried out for a relaxed Zr2Sc2Rh crystal.

The structure belongs to space group P4/mbm (No. 127); the cell edges are 6.7248, 6.7248 and 4.9802 Å and the angles 90.00°, 90.00° and 90.00°. The distinct sites, in fractional coordinates, are Zr at (0.1495, 0.3504, 0.0000), Sc at (0.1630, 0.6630, 0.5000) and Rh at (0.0000, 0.0000, 0.0000).

As for the total moment: 0.000 μB per formula unit. The density of states at the Fermi level is 10.67 states/eV/cell.

The computed energies, referenced to the most stable structure and given in eV/atom, are 1 0.000; 2 0.007.

--- 1 ---
A plane-wave DFT calculation with GGA-PBE was carried out for a relaxed Rh2Se crystal.

The structure belongs to space group P-3m1 (No. 164); the cell edges are 2.9818, 2.9818 and 6.0057 Å and the angles 90.00°, 90.00° and 120.00°. The distinct sites, in fractional coordinates, are Rh at (0.3333, 0.6667, 0.3171) and Se at (0.0000, 0.0000, 0.0000).

As for the total moment: 0.000 μB per formula unit. The density of states at the Fermi level is 4.16 states/eV/cell.

--- 2 ---
A plane-wave DFT calculation with GGA-PBE was carried out for a relaxed Rh2Se crystal.

The structure belongs to space group Pnma (No. 62); the cell edges are 6.3885, 3.6954 and 7.8923 Å and the angles 90.00°, 90.00° and 90.00°. The distinct sites, in fractional coordinates, are Rh at (0.0153, 0.2500, 0.1420), Rh at (0.1238, 0.2500, 0.5989) and Se at (0.2464, 0.2500, 0.8897).

As for the total moment: 0.000 μB per formula unit. The density of states at the Fermi level is 7.80 states/eV/cell.

The computed energies, referenced to the most stable structure and given in eV/atom, are 1 0.176; 2 0.000.

--- 1 ---
A plane-wave DFT calculation with GGA-PBE was carried out for a relaxed Rh2Se crystal.

The structure belongs to space group P-62m (No. 189); the cell edges are 6.7991, 6.7991 and 3.4508 Å and the angles 90.00°, 90.00° and 120.00°. The distinct sites, in fractional coordinates, are Rh at (0.0000, 0.3020, 0.0000), Rh at (0.0000, 0.6418, 0.5000), Se at (0.0000, 0.0000, 0.5000) and Se at (0.3333, 0.6667, 0.0000).

As for the total moment: 0.000 μB per formula unit. The density of states at the Fermi level is 7.50 states/eV/cell.

--- 2 ---
A plane-wave DFT calculation with GGA-PBE was carried out for a relaxed Rh2Se crystal.

The structure belongs to space group I4/mmm (No. 139); the cell edges are 2.9968, 2.9968 and 10.1425 Å and the angles 90.00°, 90.00° and 90.00°. The distinct sites, in fractional coordinates, are Rh at (0.0000, 0.0000, 0.1558) and Se at (0.0000, 0.0000, 0.5000).

As for the total moment: 0.000 μB per formula unit. The density of states at the Fermi level is 9.54 states/eV/cell.

--- 3 ---
A plane-wave DFT calculation with GGA-PBE was carried out for a relaxed Rh2Se crystal.

The structure belongs to space group I4/mcm (No. 140); the cell edges are 5.2535, 5.2535 and 7.2108 Å and the angles 90.00°, 90.00° and 90.00°. The distinct sites, in fractional coordinates, are Rh at (0.1877, 0.3123, 0.0000) and Se at (0.0000, 0.0000, 0.2500).

As for the total moment: 0.000 μB per formula unit. The density of states at the Fermi level is 16.00 states/eV/cell.

--- 4 ---
A plane-wave DFT calculation with GGA-PBE was carried out for a relaxed Rh2Se crystal.

The structure belongs to space group Cm (No. 8); the cell edges are 10.6122, 3.4449 and 5.2266 Å and the angles 90.00°, 98.88° and 90.00°. The distinct sites, in fractional coordinates, are Rh at (0.0000, 0.0000, 0.0000), Rh at (0.0538, 0.0000, 0.5170), Rh at (0.1870, 0.5000, 0.2156), Rh at (0.3628, 0.0000, 0.6243), Se at (0.1912, 0.5000, 0.7259) and Se at (0.3665, 0.0000, 0.1656).

As for the total moment: 0.000 μB per formula unit. The density of states at the Fermi level is 8.17 states/eV/cell.

The computed energies, referenced to the most stable structure and given in eV/atom, are 1 0.000; 2 0.150; 3 0.173; 4 0.037.

--- 1 ---
A plane-wave DFT calculation with GGA-PBE was carried out for a relaxed Rh2Se crystal.

The structure belongs to space group Cmcm (No. 63); the cell edges are 3.7844, 15.3570 and 3.9793 Å and the angles 90.00°, 90.00° and 90.00°. The distinct sites, in fractional coordinates, are Rh at (0.0000, 0.0595, 0.2500), Rh at (0.0000, 0.4319, 0.2500) and Se at (0.0000, 0.3391, 0.7500).

As for the total moment: 0.000 μB per formula unit. The density of states at the Fermi level is 7.92 states/eV/cell.

--- 2 ---
A plane-wave DFT calculation with GGA-PBE was carried out for a relaxed Rh2Se crystal.

The structure belongs to space group P-3m1 (No. 164); the cell edges are 3.9681, 3.9681 and 3.4814 Å and the angles 90.00°, 90.00° and 120.00°. The distinct sites, in fractional coordinates, are Rh at (0.3333, 0.6667, 0.2447) and Se at (0.0000, 0.0000, 0.5000).

As for the total moment: 0.000 μB per formula unit. The density of states at the Fermi level is 1.65 states/eV/cell.

The computed energies, referenced to the most stable structure and given in eV/atom, are 1 0.000; 2 0.159.

--- 1 ---
A plane-wave DFT calculation with GGA-PBE was carried out for a relaxed Rh2Se crystal.

The structure belongs to space group P6/mmm (No. 191); the cell edges are 4.3757, 4.3757 and 2.8926 Å and the angles 90.00°, 90.00° and 120.00°. The distinct sites, in fractional coordinates, are Rh at (0.3333, 0.6667, 0.0000) and Se at (0.0000, 0.0000, 0.5000).

As for the total moment: 0.000 μB per formula unit. The density of states at the Fermi level is 3.14 states/eV/cell.

--- 2 ---
A plane-wave DFT calculation with GGA-PBE was carried out for a relaxed Rh2Se crystal.

The structure belongs to space group Fd-3m (No. 227, origin choice 2); the cell edges are 7.3733, 7.3733 and 7.3733 Å and the angles 90.00°, 90.00° and 90.00°. The distinct sites, in fractional coordinates, are Rh at (0.0000, 0.0000, 0.0000) and Se at (0.1250, 0.1250, 0.6250).

As for the total moment: 0.426 μB per formula unit. The density of states at the Fermi level is 47.37 states/eV/cell.

--- 3 ---
A plane-wave DFT calculation with GGA-PBE was carried out for a relaxed Rh2Se crystal.

The structure belongs to space group C2/m (No. 12); the cell edges are 9.8552, 3.0134 and 6.5471 Å and the angles 90.00°, 108.34° and 90.00°. The distinct sites, in fractional coordinates, are Rh at (0.1483, 0.0000, 0.0394), Rh at (0.1621, 0.0000, 0.6154) and Se at (0.0587, 0.5000, 0.2882).

As for the total moment: 0.003 μB per formula unit. The density of states at the Fermi level is 16.21 states/eV/cell.

The computed energies, referenced to the most stable structure and given in eV/atom, are 1 0.359; 2 0.504; 3 0.000.

--- 1 ---
A plane-wave DFT calculation with GGA-PBE was carried out for a relaxed Rh3Se crystal.

The structure belongs to space group P6_3/mmc (No. 194); the cell edges are 5.5544, 5.5544 and 4.4726 Å and the angles 90.00°, 90.00° and 120.00°. The distinct sites, in fractional coordinates, are Rh at (0.1644, 0.3288, 0.2500) and Se at (0.3333, 0.6667, 0.7500).

As for the total moment: 0.000 μB per formula unit. The density of states at the Fermi level is 7.94 states/eV/cell.

--- 2 ---
A plane-wave DFT calculation with GGA-PBE was carried out for a relaxed Rh3Se crystal.

The structure belongs to space group Pm-3m (No. 221); the cell edges are 4.5855, 4.5855 and 4.5855 Å and the angles 90.00°, 90.00° and 90.00°. The distinct sites, in fractional coordinates, are Rh at (0.0000, 0.0000, 0.5000) and Se at (0.0000, 0.0000, 0.0000).

As for the total moment: 0.512 μB per formula unit. The density of states at the Fermi level is 8.02 states/eV/cell.

--- 3 ---
A plane-wave DFT calculation with GGA-PBE was carried out for a relaxed Rh3Se crystal.

The structure belongs to space group Pm-3m (No. 221); the cell edges are 3.8974, 3.8974 and 3.8974 Å and the angles 90.00°, 90.00° and 90.00°. The distinct sites, in fractional coordinates, are Rh at (0.0000, 0.0000, 0.5000) and Se at (0.5000, 0.5000, 0.5000).

As for the total moment: 0.000 μB per formula unit. The density of states at the Fermi level is 3.43 states/eV/cell.

The computed energies, referenced to the most stable structure and given in eV/atom, are 1 0.011; 2 0.853; 3 0.000.